1.
Density functional theory data (PBE) for an optimized crystal structure of TbPr3Nd4Se8.

The crystal system is trigonal. The value obtained for the energy is -95.11 eV per formula unit. The size of the total moment is 0.00 μB/f.u. Its uncorrected formation energy is -29.2 eV/f.u. The density of states at the Fermi level comes out at 32.47 states/eV/cell.

The space group is R-3m (No. 166, hexagonal axes) and the conventional cell measures 8.4653, 8.4653 and 20.6970 Å, with angles of 90.00, 90.00 and 120.00 degrees. The distinct sites, in fractional coordinates, are Tb at (0.0000, 0.0000, 0.0000), Pr at (0.0000, 0.5000, 0.0000), Nd at (0.0000, 0.0000, 0.5000), Nd at (0.0000, 0.5000, 0.5000), Se at (0.0000, 0.0000, 0.2490) and Se at (0.0076, 0.5038, 0.7491).


2.
Density functional theory data (PBE) for an optimized crystal structure of TbPr2Nd3Se6.

The crystal system is monoclinic. The value obtained for the energy is -71.34 eV per formula unit. The size of the total moment is 0.00 μB/f.u. Its uncorrected formation energy is -21.9 eV/f.u. The density of states at the Fermi level comes out at 11.68 states/eV/cell.

The space group is C2/m (No. 12) and the conventional cell measures 18.370, 4.202 and 8.491 Å, with angles of 90.00, 103.16 and 90.00 degrees. The distinct sites, in fractional coordinates, are Tb at (0.000, 0.000, 0.000), Pr at (0.168, 0.500, 0.335), Nd at (0.000, 0.000, 0.500), Nd at (0.170, 0.500, 0.834), Se at (0.002, 0.500, 0.760), Se at (0.162, 0.000, 0.079) and Se at (0.165, 0.000, 0.585).


3.
Density functional theory data (PBE) for an optimized crystal structure of Tb3PrNd2Se6.

The crystal system is monoclinic. The value obtained for the energy is -70.84 eV per formula unit. The size of the total moment is 0.00 μB/f.u. Its uncorrected formation energy is -21.7 eV/f.u. The density of states at the Fermi level comes out at 10.73 states/eV/cell.

The space group is C2/m (No. 12) and the conventional cell measures 18.247, 4.133 and 8.424 Å, with angles of 90.00, 104.51 and 90.00 degrees. The distinct sites, in fractional coordinates, are Tb at (0.000, 0.000, 0.000), Tb at (0.166, 0.500, 0.333), Pr at (0.000, 0.000, 0.500), Nd at (0.166, 0.500, 0.833), Se at (0.003, 0.500, 0.241), Se at (0.164, 0.000, 0.090) and Se at (0.170, 0.000, 0.576).